(1)
Entry from Alexandria via LeMat-Bulk: a relaxed ZnCdN2O crystal (PBE).

The calculation puts the formation energy from raw total energies at 522 kJ/mol of formula units. The density of states at the Fermi level is 1.7 states/eV/f.u. For the mass density, the calculation gives 5.87 g/cm³. The value obtained for the calculated total energy is -3.68 eV per atom.

Unit cell a=3.9508 b=3.9508 c=4.0213 alpha=90.00 beta=90.00 gamma=90.00
With the nearest neighbours (Å) after each atom.
Fractional positions:
Zn (0.0000, 0.0000, 0.0000)  4 N 1.98, 2 O 2.01
Cd (0.5000, 0.5000, 0.5000)  4 O 2.79, 8 N 2.82
N (0.5000, 0.0000, 0.0000)  2 Zn 1.98
N (0.0000, 0.5000, 0.0000)  2 Zn 1.98
O (0.0000, 0.0000, 0.5000)  2 Zn 2.01


(2)
Entry from Alexandria via LeMat-Bulk: a relaxed ZnCdN2O crystal (PBE).

The calculation puts the formation energy from raw total energies at 801 kJ/mol of formula units. The density of states at the Fermi level is 1.2 states/eV/f.u. For the mass density, the calculation gives 4.81 g/cm³. The value obtained for the calculated total energy is -3.10 eV per atom.

Unit cell a=4.2560 b=4.2560 c=4.2285 alpha=90.00 beta=90.00 gamma=90.00
With the nearest neighbours (Å) after each atom.
Fractional positions:
Cd (0.0000, 0.0000, 0.0000)  2 O 2.11, 4 N 2.13
N (0.5000, 0.0000, 0.0000)  2 Cd 2.13
N (0.0000, 0.5000, 0.0000)  2 Cd 2.13
Zn (0.5000, 0.5000, 0.5000)  8 N 3.00, 4 O 3.01
O (0.0000, 0.0000, 0.5000)  2 Cd 2.11


(3)
Entry from Alexandria via LeMat-Bulk: a relaxed ZrCdNO2 crystal (PBE).

The calculation puts the formation energy from raw total energies at -529 kJ/mol of formula units. The density of states at the Fermi level is 3.0 states/eV/f.u. For the mass density, the calculation gives 5.58 g/cm³. The value obtained for the calculated total energy is -6.64 eV per atom.

Unit cell a=4.1357 b=4.1357 c=4.3469 alpha=90.00 beta=90.00 gamma=90.00
With the nearest neighbours (Å) after each atom.
Fractional positions:
O (0.0000, 0.5000, 0.0000)  2 Zr 2.07
O (0.5000, 0.0000, 0.0000)  2 Zr 2.07
N (0.0000, 0.0000, 0.5000)  2 Zr 2.17
Zr (0.0000, 0.0000, 0.0000)  4 O 2.07, 2 N 2.17
Cd (0.5000, 0.5000, 0.5000)  4 N 2.92, 8 O 3.00


(4)
Entry from Alexandria via LeMat-Bulk: a relaxed ZrCdNO2 crystal (PBE).

The calculation puts the formation energy from raw total energies at 12 kJ/mol of formula units. The density of states at the Fermi level is 1.7 states/eV/f.u. For the mass density, the calculation gives 6.11 g/cm³. The value obtained for the calculated total energy is -5.52 eV per atom.

Unit cell a=4.0202 b=4.0202 c=4.1950 alpha=90.00 beta=90.00 gamma=90.00
With the nearest neighbours (Å) after each atom.
Fractional positions:
O (0.5000, 0.0000, 0.0000)  2 Cd 2.01
O (0.0000, 0.5000, 0.0000)  2 Cd 2.01
N (0.0000, 0.0000, 0.5000)  2 Cd 2.10
Zr (0.5000, 0.5000, 0.5000)  4 N 2.84, 8 O 2.91
Cd (0.0000, 0.0000, 0.0000)  4 O 2.01, 2 N 2.10


(5)
Entry from Alexandria via LeMat-Bulk: a relaxed Zr2CdNO crystal (PBE).

The calculation puts the formation energy from raw total energies at 50 kJ/mol of formula units. The density of states at the Fermi level is 3.8 states/eV/f.u. For the mass density, the calculation gives 6.18 g/cm³. The value obtained for the calculated total energy is -6.16 eV per atom.

Unit cell a=4.2947 b=4.7293 c=4.2947 alpha=90.00 beta=90.00 gamma=90.00
With the nearest neighbours (Å) after each atom.
Fractional positions:
Cd (0.0000, 0.5000, 0.0000)  2 O 2.36
Zr (0.0000, 0.0000, 0.5000)  2 O 2.15
Zr (0.5000, 0.0000, 0.0000)  2 O 2.15
N (0.5000, 0.5000, 0.5000)  4 Cd 3.04, 8 Zr 3.19
O (0.0000, 0.0000, 0.0000)  4 Zr 2.15, 2 Cd 2.36


(6)
Entry from Alexandria via LeMat-Bulk: a relaxed Zr6Cd2NO crystal (PBE).

The calculation puts the formation energy from raw total energies at -900 kJ/mol of formula units. The density of states at the Fermi level is 7.6 states/eV/f.u. For the mass density, the calculation gives 7.21 g/cm³. The value obtained for the calculated total energy is -7.57 eV per atom.

Unit cell a=6.3957 b=6.3957 c=9.0311 alpha=90.00 beta=90.00 gamma=90.00
With the nearest neighbours (Å) after each atom.
Fractional positions:
Zr (0.2479, 0.9981, 0.0000)  1 N 2.24, 1 O 2.28
Zr (0.7522, 0.5021, 0.0000)  1 N 2.24, 1 O 2.28
Zr (0.2478, 0.5021, 0.0000)  1 N 2.24, 1 O 2.28
Zr (0.0000, 0.7500, 0.7520)  1 N 2.24, 1 O 2.28
Zr (0.7479, 0.0019, 0.5000)  1 N 2.24, 1 O 2.28
Zr (0.5000, 0.2500, 0.2520)  1 N 2.24, 1 O 2.28
Zr (0.7521, 0.9981, 0.0000)  1 N 2.24, 1 O 2.28
Zr (0.2522, 0.4979, 0.5000)  1 N 2.24, 1 O 2.28
Zr (0.7478, 0.4979, 0.5000)  1 N 2.24, 1 O 2.28
Zr (0.2521, 0.0019, 0.5000)  1 N 2.24, 1 O 2.28
Zr (0.5000, 0.2500, 0.7480)  1 N 2.24, 1 O 2.28
Zr (0.0000, 0.7500, 0.2480)  1 N 2.24, 1 O 2.28
N (0.5000, 0.2499, 0.5000)  6 Zr 2.24
N (0.0000, 0.7501, 0.0000)  6 Zr 2.24
Cd (0.0000, 0.2500, 0.7499)  12 Zr 3.19-3.20
Cd (0.5000, 0.7500, 0.7501)  12 Zr 3.19-3.20
Cd (0.0000, 0.2500, 0.2501)  12 Zr 3.19-3.20
Cd (0.5000, 0.7500, 0.2499)  12 Zr 3.19-3.20
O (0.0000, 0.7498, 0.5000)  6 Zr 2.28
O (0.5000, 0.2502, 0.0000)  6 Zr 2.28


(7)
Entry from Alexandria via LeMat-Bulk: a relaxed CdOsN2 crystal (PBE).

The calculation puts the formation energy from raw total energies at 401 kJ/mol of formula units. The density of states at the Fermi level is 2.2 states/eV/f.u. For the mass density, the calculation gives 9.73 g/cm³. The value obtained for the calculated total energy is -6.16 eV per atom.

Unit cell a=6.8091 b=6.8091 c=6.8091 alpha=26.76 beta=26.76 gamma=26.76
With the nearest neighbours (Å) after each atom.
Fractional positions:
Os (0.0000, 0.0000, 0.0000)  2 N 1.81
N (0.9080, 0.9080, 0.9080)  1 Os 1.81
N (0.0920, 0.0920, 0.0920)  1 Os 1.81
Cd (0.5000, 0.5000, 0.5000)  6 N 2.34


(8)
Entry from Alexandria via LeMat-Bulk: a relaxed Cd2OsN crystal (PBE).

The calculation puts the formation energy from raw total energies at 239 kJ/mol of formula units. The density of states at the Fermi level is 1.2 states/eV/f.u. For the mass density, the calculation gives 9.30 g/cm³. The value obtained for the calculated total energy is -4.73 eV per atom.

Unit cell a=9.0306 b=9.0306 c=6.6562 alpha=47.28 beta=47.28 gamma=90.00
With the nearest neighbours (Å) after each atom.
Fractional positions:
Cd (0.4984, 0.1250, 0.2500)  2 N 2.56
Cd (0.2516, 0.6250, 0.2500)  2 N 2.56
Cd (0.3750, 0.5016, 0.7500)  2 N 2.56
Cd (0.8750, 0.7484, 0.7500)  2 N 2.56
N (0.5000, 0.5000, 0.0000)  2 Os 1.88
N (0.2500, 0.7500, 0.5000)  2 Os 1.88
Os (0.0000, 0.0000, 0.0000)  2 N 1.88
Os (0.7500, 0.2500, 0.5000)  2 N 1.88


(9)
Entry from Alexandria via LeMat-Bulk: a relaxed CdOsN2 crystal (PBE).

The calculation puts the formation energy from raw total energies at 252 kJ/mol of formula units. The density of states at the Fermi level is 2.6 states/eV/f.u. For the mass density, the calculation gives 10.41 g/cm³. The value obtained for the calculated total energy is -6.55 eV per atom.

Unit cell a=7.0970 b=7.0970 c=7.0970 alpha=24.19 beta=24.19 gamma=24.19
With the nearest neighbours (Å) after each atom.
Fractional positions:
N (0.8894, 0.8894, 0.8894)  3 Os 2.07, 1 Cd 2.29
N (0.1106, 0.1106, 0.1106)  3 Os 2.07, 1 Cd 2.29
Cd (0.0000, 0.0000, 0.0000)  2 N 2.29
Os (0.5000, 0.5000, 0.5000)  6 N 2.07


(10)
Entry from Alexandria via LeMat-Bulk: a relaxed CdOsN2 crystal (PBE).

The calculation puts the formation energy from raw total energies at 234 kJ/mol of formula units. The density of states at the Fermi level is 1.6 states/eV/f.u. For the mass density, the calculation gives 9.37 g/cm³. The value obtained for the calculated total energy is -6.59 eV per atom.

Unit cell a=4.9032 b=4.9032 c=5.9812 alpha=65.80 beta=65.80 gamma=90.00
With the nearest neighbours (Å) after each atom.
Fractional positions:
Cd (0.2500, 0.7500, 0.5000)  4 N 2.34
Cd (0.5000, 0.5000, 0.0000)  4 N 2.34
Os (0.0000, 0.0000, 0.0000)  4 N 1.94
Os (0.7500, 0.2500, 0.5000)  4 N 1.94
N (0.6968, 0.1250, 0.2500)  2 Os 1.94
N (0.3750, 0.3032, 0.7500)  2 Os 1.94
N (0.0532, 0.6250, 0.2500)  2 Os 1.94
N (0.8750, 0.9468, 0.7500)  2 Os 1.94


(11)
Entry from Alexandria via LeMat-Bulk: a relaxed Cd3OsN crystal (PBE).

The calculation puts the formation energy from raw total energies at 839 kJ/mol of formula units. The density of states at the Fermi level is 4.1 states/eV/f.u. For the mass density, the calculation gives 6.15 g/cm³. The value obtained for the calculated total energy is -2.72 eV per atom.

Unit cell a=5.2685 b=5.2685 c=5.2685 alpha=90.00 beta=90.00 gamma=90.00
With the nearest neighbours (Å) after each atom.
Fractional positions:
Cd (0.5000, 0.0000, 0.0000)  2 Os 2.63
Cd (0.0000, 0.0000, 0.5000)  2 Os 2.63
Cd (0.0000, 0.5000, 0.0000)  2 Os 2.63
N (0.5000, 0.5000, 0.5000)  12 Cd 3.73
Os (0.0000, 0.0000, 0.0000)  6 Cd 2.63


(12)
Entry from Alexandria via LeMat-Bulk: a relaxed Cd3OsN crystal (PBE).

The calculation puts the formation energy from raw total energies at 545 kJ/mol of formula units. The density of states at the Fermi level is 4.2 states/eV/f.u. For the mass density, the calculation gives 9.96 g/cm³. The value obtained for the calculated total energy is -3.33 eV per atom.

Unit cell a=4.4858 b=4.4858 c=4.4858 alpha=90.00 beta=90.00 gamma=90.00
With the nearest neighbours (Å) after each atom.
Fractional positions:
Os (0.5000, 0.5000, 0.5000)  12 Cd 3.17
Cd (0.5000, 0.0000, 0.0000)  2 N 2.24
Cd (0.0000, 0.0000, 0.5000)  2 N 2.24
Cd (0.0000, 0.5000, 0.0000)  2 N 2.24
N (0.0000, 0.0000, 0.0000)  6 Cd 2.24


What did the fourth record say?
Entry from Alexandria via LeMat-Bulk: a relaxed ZrCdNO2 crystal (PBE).

The calculation puts the formation energy from raw total energies at 12 kJ/mol of formula units. The density of states at the Fermi level is 1.7 states/eV/f.u. For the mass density, the calculation gives 6.11 g/cm³. The value obtained for the calculated total energy is -5.52 eV per atom.

Unit cell a=4.0202 b=4.0202 c=4.1950 alpha=90.00 beta=90.00 gamma=90.00
With the nearest neighbours (Å) after each atom.
Fractional positions:
O (0.5000, 0.0000, 0.0000)  2 Cd 2.01
O (0.0000, 0.5000, 0.0000)  2 Cd 2.01
N (0.0000, 0.0000, 0.5000)  2 Cd 2.10
Zr (0.5000, 0.5000, 0.5000)  4 N 2.84, 8 O 2.91
Cd (0.0000, 0.0000, 0.0000)  4 O 2.01, 2 N 2.10


The highest formation energy from raw total energies belongs to which entry?
number 11


The lowest calculated total energy belongs to which entry?
Zr6Cd2NO


The highest calculated total energy belongs to which entry?
number 11